1.
# PuHfOsAu

An optimized crystal structure of PuHfOsAu (GGA-PBE, Alexandria via LeMat-Bulk).

The structure belongs to space group F-43m (No. 216); the cell edges are 6.8329, 6.8329 and 6.8329 Å and the angles 90.00°, 90.00° and 90.00°. The asymmetric unit holds Pu at (0.0000, 0.0000, 0.0000), Hf at (0.0000, 0.0000, 0.5000), Os at (0.2500, 0.2500, 0.2500) and Au at (0.2500, 0.2500, 0.7500).

The energy of formation from the pure elements comes out at -0.1812 eV/atom. Its total energy is -9.879 eV/atom. The calculation puts the density of states at the Fermi level at 34.4 states/eV per cell.

---

2.
# TbHfOsAu

An optimized crystal structure of TbHfOsAu (GGA-PBE, Alexandria via LeMat-Bulk).

The structure belongs to space group F-43m (No. 216); the cell edges are 6.8367, 6.8367 and 6.8367 Å and the angles 90.00°, 90.00° and 90.00°. The asymmetric unit holds Tb at (0.0000, 0.0000, 0.0000), Hf at (0.0000, 0.0000, 0.5000), Os at (0.2500, 0.2500, 0.2500) and Au at (0.2500, 0.2500, 0.7500).

The energy of formation from the pure elements comes out at -0.3995 eV/atom. Its total energy is -7.672 eV/atom. The calculation puts the density of states at the Fermi level at 13.7 states/eV per cell.